First-principles (PBE) data for crystalline PrSm2Mg at its relaxed geometry, as listed in Alexandria via LeMat-Bulk.

## Properties
Fermi-level density of states = 4.414 states/eV/cell
offset from the most stable computed form = 0.0000 eV/atom
symmetry = No. 123
E_form = -0.15 eV/f.u.

```
PrSm2Mg
1.0
3.747 0.000 0.000
0.000 3.747 0.000
0.000 0.000 9.065
Pr Sm Mg
1 2 1
Direct
0.000 0.000 0.000 Pr
0.500 0.500 0.277 Sm
0.500 0.500 0.723 Sm
0.000 0.000 0.500 Mg
```